(a)
VASP calculation (PBE) on a relaxed Zn2OsW crystal.

- calculated density (g/cm³) = 14.1
- SG = P2/m
- Fermi-level density of states (states/eV per cell) = 3.247
- crystal system = monoclinic
- total moment (Bohr magnetons per cell) = 0.0

Cell lengths 4.4159, 2.7011, 5.0550 Å; angles 80.25, 90.00, 90.00 degrees
Closest atoms and distances in Å follow each position.
Element x y z (fractional)
Os1 0.5000 0.2500 0.2500  4 Zn 2.63, 2 W 2.66, 2 Os 2.70
W1 0.5000 0.7500 0.7500  2 Os 2.66, 2 W 2.70, 4 Zn 2.75
Zn1 0.0000 0.0675 0.0006  5 Zn 2.56-2.86, 2 Os 2.63, 2 W 2.75
Zn2 0.0000 0.4325 0.4994  5 Zn 2.56-2.86, 2 Os 2.63, 2 W 2.75

(b)
VASP calculation (PBE) on a relaxed Zn2OsW crystal.

- calculated density (g/cm³) = 13.2
- SG = I-42d
- Fermi-level density of states (states/eV per cell) = 7.885
- crystal system = tetragonal
- total moment (Bohr magnetons per cell) = 0.4

Cell lengths 7.0006, 7.0006, 5.5867 Å; angles 51.20, 51.20, 90.00 degrees
Closest atoms and distances in Å follow each position.
Element x y z (fractional)
Zn1 0.6334 0.1250 0.2500  2 Os 2.52, 2 Zn 2.59, 2 W 2.60
Zn2 0.1166 0.6250 0.2500  2 Os 2.52, 2 Zn 2.59, 2 W 2.60
Zn3 0.3750 0.3666 0.7500  2 Os 2.52, 2 Zn 2.59, 2 W 2.60
Zn4 0.8750 0.8834 0.7500  2 Os 2.52, 2 Zn 2.59, 2 W 2.60
Os1 0.0000 0.0000 0.0000  4 Zn 2.52, 2 W 2.59
Os2 0.7500 0.2500 0.5000  4 Zn 2.52, 2 W 2.59
W1 0.5000 0.5000 0.0000  2 Os 2.59, 4 Zn 2.60
W2 0.2500 0.7500 0.5000  2 Os 2.59, 4 Zn 2.60

The relative energies come out as (a) 0.000; (b) 0.597, with values in eV/atom.

(a)
VASP calculation (PBE) on a relaxed ZnOsW crystal.

- calculated density (g/cm³) = 16.3
- SG = I4mm
- Fermi-level density of states (states/eV per cell) = 1.568
- crystal system = tetragonal
- total moment (Bohr magnetons per cell) = 0.0

Cell lengths 5.1632, 5.1632, 5.1632 Å; angles 145.17, 145.17, 50.09 degrees
Closest atoms and distances in Å follow each position.
Element x y z (fractional)
Os1 0.9955 0.9955 0.0000  4 W 2.62, 4 Zn 2.69
W1 0.3412 0.3412 0.0000  4 Os 2.62, 4 Zn 2.75
Zn1 0.6633 0.6633 0.0000  4 Os 2.69, 5 W 2.75-3.01

(b)
VASP calculation (PBE) on a relaxed ZnOsW crystal.

- calculated density (g/cm³) = 16.3
- SG = P4/nmm
- Fermi-level density of states (states/eV per cell) = 1.411
- crystal system = tetragonal
- total moment (Bohr magnetons per cell) = 0.0

Cell lengths 3.1384, 3.1384, 9.1058 Å; angles 90.00, 90.00, 90.00 degrees
Closest atoms and distances in Å follow each position.
Element x y z (fractional)
Zn1 0.0000 0.5000 0.5730  4 Zn 2.59, 4 Os 2.74
Zn2 0.5000 0.0000 0.4270  4 Zn 2.59, 4 Os 2.74
Os1 0.0000 0.5000 0.2513  4 W 2.64, 5 Zn 2.74-2.93
Os2 0.5000 0.0000 0.7487  4 W 2.64, 5 Zn 2.74-2.93
W1 0.5000 0.0000 0.0940  4 Os 2.64, 4 W 2.80
W2 0.0000 0.5000 0.9060  4 Os 2.64, 4 W 2.80

(c)
VASP calculation (PBE) on a relaxed ZnOsW crystal.

- calculated density (g/cm³) = 16.0
- SG = Fmm2
- Fermi-level density of states (states/eV per cell) = 2.498
- crystal system = orthorhombic
- total moment (Bohr magnetons per cell) = 0.0

Cell lengths 7.1286, 6.9188, 2.7159 Å; angles 83.23, 74.54, 22.23 degrees
Closest atoms and distances in Å follow each position.
Element x y z (fractional)
Os1 0.9980 0.9980 0.0020  2 W 2.64, 2 Zn 2.71, 4 Os 2.72
W1 0.3366 0.3366 0.6634  2 Os 2.64, 4 W 2.72, 2 Zn 2.75
Zn1 0.6654 0.6654 0.3346  2 Os 2.71, 6 Zn 2.72-2.98, 2 W 2.75

(d)
VASP calculation (PBE) on a relaxed ZnOsW crystal.

- calculated density (g/cm³) = 16.4
- SG = Imm2
- Fermi-level density of states (states/eV per cell) = 2.237
- crystal system = orthorhombic
- total moment (Bohr magnetons per cell) = 0.0

Cell lengths 4.7320, 4.7320, 4.7320 Å; angles 144.88, 132.66, 60.29 degrees
Closest atoms and distances in Å follow each position.
Element x y z (fractional)
Os1 0.0021 0.0021 0.0000  5 W 2.72-2.78, 5 Zn 2.72-2.74, 2 Os 2.86
W1 0.6629 0.6629 0.0000  5 Zn 2.68-2.76, 5 Os 2.72-2.78, 2 W 2.86
Zn1 0.3350 0.3350 0.0000  5 W 2.68-2.76, 5 Os 2.72-2.74, 2 Zn 2.86

The relative energies come out as (a) 0.094; (b) 0.000; (c) 0.249; (d) 0.110, with values in eV/atom.